A geometry-optimized Nd2Er2Bi2C structure, computed with GGA-PBE.

Structure (POSCAR):
```
Nd2Er2Bi2C
1.0
4.817 0.000 0.000
0.000 4.817 0.000
0.000 0.000 16.573
Nd Er Bi C
4 4 4 2
direct
0.000 0.000 0.159
0.000 0.000 0.841
0.500 0.500 0.341
0.500 0.500 0.659
0.000 0.500 0.000
0.000 0.500 0.500
0.500 0.000 0.000
0.500 0.000 0.500
0.000 0.000 0.362
0.000 0.000 0.638
0.500 0.500 0.138
0.500 0.500 0.862
0.000 0.000 0.000
0.500 0.500 0.500
```

Values from the calculation:
**E_form**: -708 meV per atom
**Space-group type**: I4/mmm (139)
**Crystal system**: tetragonal
**Magnetization**: 0.00 μB/f.u.

---

A geometry-optimized Er4BiPbC structure, computed with GGA-PBE.

Structure (POSCAR):
```
Er4BiPbC
1.0
3.398 -7.935 0.000
3.398 7.935 0.000
0.000 0.000 6.792
Er Bi Pb C
8 2 2 2
direct
0.000 0.500 0.000
0.000 0.500 0.500
0.095 0.905 0.750
0.402 0.598 0.750
0.500 0.000 0.000
0.500 0.000 0.500
0.598 0.402 0.250
0.905 0.095 0.250
0.395 0.605 0.250
0.605 0.395 0.750
0.106 0.894 0.250
0.894 0.106 0.750
0.250 0.750 0.750
0.750 0.250 0.250
```

Values from the calculation:
**E_form**: -608 meV per atom
**Space-group type**: Cmcm (63)
**Crystal system**: orthorhombic
**Magnetization**: 0.00 μB/f.u.

---

A geometry-optimized Pm3ErBi2C structure, computed with GGA-PBE.

Structure (POSCAR):
```
Pm3ErBi2C
1.0
4.835 0.000 0.000
0.000 4.999 0.000
0.000 0.000 16.468
Pm Er Bi C
6 2 4 2
direct
0.000 0.000 0.000
0.000 0.500 0.156
0.000 0.500 0.844
0.500 0.000 0.344
0.500 0.000 0.656
0.500 0.500 0.500
0.000 0.000 0.500
0.500 0.500 0.000
0.000 0.500 0.358
0.000 0.500 0.642
0.500 0.000 0.142
0.500 0.000 0.858
0.000 0.500 0.000
0.500 0.000 0.500
```

Values from the calculation:
**E_form**: -648 meV per atom
**Space-group type**: Immm (71)
**Crystal system**: orthorhombic
**Magnetization**: 0.00 μB/f.u.

---

A geometry-optimized Pm2Er5Bi3C2 structure, computed with GGA-PBE.

Structure (POSCAR):
```
Pm2Er5Bi3C2
1.0
-2.418 2.418 13.059
2.418 -2.418 13.059
2.418 2.418 -13.059
Pm Er Bi C
2 5 3 2
direct
0.193 0.193 0.000
0.807 0.807 0.000
0.000 0.000 0.000
0.092 0.592 0.500
0.408 0.908 0.500
0.592 0.092 0.500
0.908 0.408 0.500
0.320 0.320 0.000
0.500 0.500 0.000
0.680 0.680 0.000
0.093 0.093 0.000
0.907 0.907 0.000
```

Values from the calculation:
**E_form**: -641 meV per atom
**Space-group type**: I4/mmm (139)
**Crystal system**: tetragonal
**Magnetization**: 0.00 μB/f.u.

---

A geometry-optimized Er3ScBi2C structure, computed with GGA-PBE.

Structure (POSCAR):
```
Er3ScBi2C
1.0
4.579 0.000 0.000
0.000 4.796 0.000
0.000 0.000 15.893
Er Sc Bi C
6 2 4 2
direct
0.000 0.000 0.000
0.000 0.500 0.152
0.000 0.500 0.848
0.500 0.000 0.348
0.500 0.000 0.652
0.500 0.500 0.500
0.000 0.000 0.500
0.500 0.500 0.000
0.000 0.500 0.355
0.000 0.500 0.645
0.500 0.000 0.145
0.500 0.000 0.855
0.000 0.500 0.000
0.500 0.000 0.500
```

Values from the calculation:
**E_form**: -677 meV per atom
**Space-group type**: Immm (71)
**Crystal system**: orthorhombic
**Magnetization**: 0.01 μB/f.u.

---

A geometry-optimized Er2ScBiC structure, computed with GGA-PBE.

Structure (POSCAR):
```
Er2ScBiC
1.0
4.881 0.000 0.000
0.000 4.881 0.000
0.000 0.000 4.591
Er Sc Bi C
2 1 1 1
direct
0.000 0.500 0.000
0.500 0.000 0.000
0.000 0.000 0.500
0.500 0.500 0.500
0.000 0.000 0.000
```

Values from the calculation:
**E_form**: -572 meV per atom
**Space-group type**: P4/mmm (123)
**Crystal system**: tetragonal
**Magnetization**: 0.00 μB/f.u.

---

| no. | VASP energy (eV per atom) |
| --- | --- |
| 1 | -5.8006 |
| 2 | -5.6170 |
| 3 | -5.7626 |
| 4 | -5.8412 |
| 5 | -5.9632 |
| 6 | -6.2842 |